Entry 1:
A geometry-optimized Cs3BeCr structure. Source: Alexandria via LeMat-Bulk, functional PBE-GGA.

electronic total energy: -2.09 eV per atom
formation enthalpy at 0 K: 5.47 eV/f.u.
polymorph energy (0 for the lowest one): 0.000 eV per atom

Cell lengths 6.9164, 6.9164, 6.9164 Å; angles 90.00, 90.00, 90.00 degrees
Closest atoms and distances in Å follow each position.
Atoms (fractional coordinates):
Cs1 0.0000 0.5000 0.0000  2 Be 3.46
Cs2 0.0000 0.0000 0.5000  2 Be 3.46
Cs3 0.5000 0.0000 0.0000  2 Be 3.46
Be1 0.0000 0.0000 0.0000  6 Cs 3.46
Cr1 0.5000 0.5000 0.5000  12 Cs 4.89

---

Entry 2:
A geometry-optimized CsBeCr3 structure. Source: Alexandria via LeMat-Bulk, functional PBE-GGA.

electronic total energy: -5.37 eV per atom
formation enthalpy at 0 K: 6.61 eV/f.u.

Cell lengths 4.8230, 4.8230, 4.8230 Å; angles 90.00, 90.00, 90.00 degrees
Closest atoms and distances in Å follow each position.
Atoms (fractional coordinates):
Cs1 0.5000 0.5000 0.5000  12 Cr 3.41
Cr1 0.0000 0.5000 0.0000  2 Be 2.41
Cr2 0.0000 0.0000 0.5000  2 Be 2.41
Cr3 0.5000 0.0000 0.0000  2 Be 2.41
Be1 0.0000 0.0000 0.0000  6 Cr 2.41

---

Entry 3:
A geometry-optimized Cs2BeCr structure. Source: Alexandria via LeMat-Bulk, functional PBE-GGA.

electronic total energy: -2.43 eV per atom
formation enthalpy at 0 K: 5.34 eV/f.u.

Cell lengths 5.9679, 5.9679, 5.9679 Å; angles 60.00, 60.00, 60.00 degrees
Closest atoms and distances in Å follow each position.
Atoms (fractional coordinates):
Cs1 0.2500 0.2500 0.2500  4 Cr 3.65, 4 Be 3.65
Cs2 0.7500 0.7500 0.7500  4 Cr 3.65, 4 Be 3.65
Cr1 0.5000 0.5000 0.5000  8 Cs 3.65
Be1 0.0000 0.0000 0.0000  8 Cs 3.65

---

Entry 4:
A geometry-optimized CsBe2Cr structure. Source: Alexandria via LeMat-Bulk, functional PBE-GGA.

electronic total energy: -2.36 eV per atom
formation enthalpy at 0 K: 8.49 eV/f.u.

Cell lengths 4.6723, 4.6723, 4.6723 Å; angles 60.00, 60.00, 60.00 degrees
Closest atoms and distances in Å follow each position.
Atoms (fractional coordinates):
Cs1 0.5000 0.5000 0.5000  8 Be 2.86
Cr1 0.0000 0.0000 0.0000  8 Be 2.86
Be1 0.2500 0.2500 0.2500  4 Cr 2.86, 4 Cs 2.86
Be2 0.7500 0.7500 0.7500  4 Cr 2.86, 4 Cs 2.86